1.
## Mn2SbMo2 (PBE-GGA)

Data for Mn2SbMo2 after structural relaxation.

Cell and atoms, written as POSCAR:
```
Mn2SbMo2
1.0
3.756 0.000 0.000
0.000 3.756 0.000
0.000 0.000 11.819
Mn Sb Mo
4 2 4
Direct
0.000 0.500 0.250
0.000 0.500 0.750
0.500 0.000 0.250
0.500 0.000 0.750
0.000 0.000 0.000
0.500 0.500 0.500
0.000 0.000 0.377
0.000 0.000 0.623
0.500 0.500 0.123
0.500 0.500 0.877
```

Computed properties:
* DFT total energy: -8.34 eV/atom
* space group: I4/mmm (139)



2.
## Li2CaAu2 (PBE-GGA)

Data for Li2CaAu2 after structural relaxation.

Cell and atoms, written as POSCAR:
```
Li2CaAu2
1.0
7.572 0.000 0.000
0.000 7.572 0.000
0.000 0.000 3.239
Li Ca Au
4 2 4
Direct
0.117 0.383 0.000
0.383 0.883 0.000
0.617 0.117 0.000
0.883 0.617 0.000
0.000 0.000 0.000
0.500 0.500 0.000
0.176 0.676 0.500
0.324 0.176 0.500
0.676 0.824 0.500
0.824 0.324 0.500
```

Computed properties:
* formation energy from the elements: -0.54 eV per atom
* space group: P4/mbm (127)
* energy above the most stable polymorph in this dataset: 51 meV per atom



3.
## LaNd2Sm (PBE-GGA)

Data for LaNd2Sm after structural relaxation.

Cell and atoms, written as POSCAR:
```
LaNd2Sm
1.0
5.201 0.000 0.000
0.000 5.201 0.000
0.000 0.000 5.221
La Nd Sm
1 2 1
Direct
0.000 0.000 0.000
0.000 0.500 0.500
0.500 0.000 0.500
0.500 0.500 0.000
```

Computed properties:
* formation energy from the elements: 0.01 eV per atom
* space group: P4/mmm (123)
* energy above the most stable polymorph in this dataset: 0 meV per atom



4.
## K2PuHgO5 (PBE-GGA)

Data for K2PuHgO5 after structural relaxation.

Cell and atoms, written as POSCAR:
```
K2PuHgO5
1.0
-2.171 3.632 5.764
2.171 -3.632 5.764
2.171 3.632 -5.764
K Pu Hg O
2 1 1 5
Direct
0.249 0.249 0.000
0.751 0.751 0.000
0.000 0.500 0.500
0.500 0.000 0.500
0.000 0.000 0.000
0.059 0.380 0.679
0.300 0.620 0.679
0.700 0.380 0.321
0.941 0.620 0.321
```

Computed properties:
* DFT total energy: -6.38 eV/atom
* space group: Immm (71)